# Li2TlPt | the Alexandria database | PBE | relaxed
data_Li2TlPt
_space_group_name_H-M_alt 'C 1 2/m 1'
_space_group_IT_number 12
_space_group_name_Hall '-C 2y'
_cell_length_a 5.821
_cell_length_b 5.873
_cell_length_c 3.860
_cell_angle_alpha 90.00
_cell_angle_beta 90.11
_cell_angle_gamma 90.00
loop_
_atom_site_label
_atom_site_type_symbol
_atom_site_fract_x
_atom_site_fract_y
_atom_site_fract_z
Li1 Li 0.250 0.250 0.000
Tl1 Tl 0.000 0.000 0.500
Pt1 Pt 0.000 0.500 0.500
# Crystal system   monoclinic
# DOS(E_F)   2.6 states/eV/cell
# E_tot   -13.7 eV/f.u.

---

# Cr2TcBr | the Alexandria database | PBE | relaxed
data_Cr2TcBr
_space_group_name_H-M_alt 'P 4/m m m'
_space_group_IT_number 123
_space_group_name_Hall '-P 4 2'
_cell_length_a 4.363
_cell_length_b 4.363
_cell_length_c 2.924
_cell_angle_alpha 90.00
_cell_angle_beta 90.00
_cell_angle_gamma 90.00
loop_
_atom_site_label
_atom_site_type_symbol
_atom_site_fract_x
_atom_site_fract_y
_atom_site_fract_z
Cr1 Cr 0.000 0.500 0.000
Tc1 Tc 0.000 0.000 0.500
Br1 Br 0.500 0.500 0.500
# Formation energy from raw total energies   0.85 eV/atom
# Crystal system   tetragonal
# DOS(E_F)   5.4 states/eV/cell
# Polymorph energy (0 for the lowest one)   356 meV per atom

---

# PuCdGaSb | the Alexandria database | PBE | relaxed
data_PuCdGaSb
_space_group_name_H-M_alt 'P m m m'
_space_group_IT_number 47
_space_group_name_Hall '-P 2 2'
_cell_length_a 4.312
_cell_length_b 4.583
_cell_length_c 4.758
_cell_angle_alpha 90.00
_cell_angle_beta 90.00
_cell_angle_gamma 90.00
loop_
_atom_site_label
_atom_site_type_symbol
_atom_site_fract_x
_atom_site_fract_y
_atom_site_fract_z
Pu1 Pu 0.000 0.000 0.000
Cd1 Cd 0.000 0.500 0.500
Ga1 Ga 0.500 0.000 0.500
Sb1 Sb 0.500 0.500 0.000
# Formation energy from raw total energies   -0.34 eV/atom
# Crystal system   orthorhombic
# DOS(E_F)   9.9 states/eV/cell

---

# NbCo2H | the Alexandria database | PBE | relaxed
data_NbCo2H
_space_group_name_H-M_alt 'C c c m'
_space_group_IT_number 66
_space_group_name_Hall '-C 2 2c'
_cell_length_a 4.543
_cell_length_b 8.050
_cell_length_c 4.514
_cell_angle_alpha 90.00
_cell_angle_beta 90.00
_cell_angle_gamma 90.00
loop_
_atom_site_label
_atom_site_type_symbol
_atom_site_fract_x
_atom_site_fract_y
_atom_site_fract_z
Nb1 Nb 0.250 0.250 0.000
Co1 Co 0.232 0.088 0.500
H1 H 0.000 0.500 0.250
# Crystal system   orthorhombic
# DOS(E_F)   22.0 states/eV/cell
# Polymorph energy (0 for the lowest one)   0 meV per atom

---

DOS(E_F) of number 4 (NbCo2H)? 22.0 states/eV/cell